A PBEsol-optimized structure of MgPt4W. Source: the Alexandria database, functional SCAN.

Summary:
uncorrected energy = -355.4 eV for the cell shown
density of states at the Fermi level = 5.2 states/eV/f.u.
space-group type = No. 216
energy of formation from the pure elements = 11.9 meV/atom

abc: 5.1671 5.1671 5.1671
angles: 60.00 60.00 60.00
Closest atoms and distances in Å follow each position.
Fractional positions:
Pt  0.3752  0.3752  0.8744  6 Pt 2.58-2.59
Pt  0.3752  0.3752  0.3752  6 Pt 2.58-2.59
Pt  0.8744  0.3752  0.3752  6 Pt 2.58-2.59
Pt  0.3752  0.8744  0.3752  6 Pt 2.58-2.59
Mg  0.0000  0.0000  0.0000  12 Pt 3.03, 4 W 3.16
W  0.7500  0.7500  0.7500  12 Pt 3.03, 4 Mg 3.16